(1)
The following is a GGA-PBE calculation of an optimized crystal structure of TbPaTcIr, from Alexandria via LeMat-Bulk.

a b c (Å): 4.875 4.875 4.875
angles (deg): 60.00 60.00 60.00
Atoms (fractional coordinates):
Tb 0.000 0.000 0.000
Pa 0.500 0.500 0.500
Tc 0.250 0.250 0.250
Ir 0.750 0.750 0.750

Values from the calculation:
Crystal system = cubic

***

(2)
The following is a GGA-PBE calculation of an optimized crystal structure of MnBe2Hg, from Alexandria via LeMat-Bulk.

a b c (Å): 8.530 8.530 8.530
angles (deg): 18.65 18.65 18.65
Atoms (fractional coordinates):
Mn 0.000 0.000 0.000
Be 0.264 0.264 0.264
Be 0.736 0.736 0.736
Hg 0.500 0.500 0.500

Values from the calculation:
Crystal system = trigonal

***

(3)
The following is a GGA-PBE calculation of an optimized crystal structure of Nd2Zn2In3, from Alexandria via LeMat-Bulk.

a b c (Å): 10.390 10.390 7.356
angles (deg): 90.00 90.00 154.04
Atoms (fractional coordinates):
Nd 0.046 0.954 0.750
Nd 0.162 0.838 0.250
Nd 0.838 0.162 0.750
Nd 0.954 0.046 0.250
Zn 0.311 0.689 0.063
Zn 0.311 0.689 0.437
Zn 0.689 0.311 0.563
Zn 0.689 0.311 0.937
In 0.220 0.780 0.750
In 0.435 0.565 0.560
In 0.435 0.565 0.940
In 0.565 0.435 0.060
In 0.565 0.435 0.440
In 0.780 0.220 0.250

Values from the calculation:
Crystal system = orthorhombic

***

(4)
The following is a GGA-PBE calculation of an optimized crystal structure of TaTi2Au, from Alexandria via LeMat-Bulk.

a b c (Å): 9.965 9.965 9.965
angles (deg): 157.16 157.16 32.52
Atoms (fractional coordinates):
Ta 0.000 0.000 0.000
Ta 0.750 0.250 0.500
Ti 0.119 0.625 0.994
Ti 0.375 0.369 0.494
Ti 0.631 0.125 0.006
Ti 0.875 0.881 0.506
Au 0.250 0.750 0.500
Au 0.500 0.500 0.000

Values from the calculation:
Crystal system = tetragonal

***

(5)
The following is a GGA-PBE calculation of an optimized crystal structure of CaRh, from Alexandria via LeMat-Bulk.

a b c (Å): 6.057 6.057 6.057
angles (deg): 148.72 133.73 56.91
Atoms (fractional coordinates):
Ca 0.358 0.108 0.250
Ca 0.642 0.892 0.750
Rh 0.099 0.349 0.750
Rh 0.901 0.651 0.250

Values from the calculation:
Crystal system = orthorhombic

***

(6)
The following is a GGA-PBE calculation of an optimized crystal structure of TiMn2HRh, from Alexandria via LeMat-Bulk.

a b c (Å): 3.740 3.740 3.985
angles (deg): 90.00 90.00 90.00
Atoms (fractional coordinates):
Ti 0.000 0.000 0.000
Mn 0.000 0.500 0.500
Mn 0.500 0.000 0.500
H 0.500 0.500 0.500
Rh 0.500 0.500 0.000

Values from the calculation:
Crystal system = tetragonal

***

(7)
The following is a GGA-PBE calculation of an optimized crystal structure of VMo2HPd, from Alexandria via LeMat-Bulk.

a b c (Å): 4.765 4.765 3.043
angles (deg): 90.00 90.00 90.00
Atoms (fractional coordinates):
V 0.000 0.000 0.000
Mo 0.000 0.500 0.000
Mo 0.500 0.000 0.000
H 0.000 0.000 0.500
Pd 0.500 0.500 0.500

Values from the calculation:
Crystal system = tetragonal

***

(8)
The following is a GGA-PBE calculation of an optimized crystal structure of InSbAsI2, from Alexandria via LeMat-Bulk.

a b c (Å): 5.869 5.869 6.046
angles (deg): 90.00 90.00 90.00
Atoms (fractional coordinates):
In 0.000 0.000 0.000
Sb 0.000 0.000 0.500
As 0.500 0.500 0.500
I 0.000 0.500 0.000
I 0.500 0.000 0.000

Values from the calculation:
Crystal system = tetragonal
Energy relative to the elements, uncorrected = 620 meV per atom

***

(9)
The following is a GGA-PBE calculation of an optimized crystal structure of Li3Er2ScS6, from Alexandria via LeMat-Bulk.

a b c (Å): 6.617 6.617 6.521
angles (deg): 99.70 99.70 120.02
Atoms (fractional coordinates):
Li 0.000 0.000 0.000
Li 0.337 0.663 0.000
Li 0.663 0.337 0.000
Er 0.167 0.833 0.500
Er 0.833 0.167 0.500
Sc 0.500 0.500 0.500
S 0.095 0.418 0.253
S 0.259 0.259 0.745
S 0.418 0.095 0.253
S 0.582 0.905 0.747
S 0.741 0.741 0.255
S 0.905 0.582 0.747

Values from the calculation:
Crystal system = monoclinic
Energy relative to the elements, uncorrected = -1826 meV per atom

***

(10)
The following is a GGA-PBE calculation of an optimized crystal structure of CeMg, from Alexandria via LeMat-Bulk.

a b c (Å): 6.677 6.677 7.598
angles (deg): 104.03 104.03 27.42
Atoms (fractional coordinates):
Ce 0.000 0.000 0.000
Ce 0.031 0.031 0.582
Ce 0.622 0.622 0.321
Mg 0.312 0.312 0.651
Mg 0.348 0.348 0.251
Mg 0.716 0.716 0.924

Values from the calculation:
Crystal system = monoclinic

***

(11)
The following is a GGA-PBE calculation of an optimized crystal structure of HfFe2Ge, from Alexandria via LeMat-Bulk.

a b c (Å): 4.141 4.141 3.143
angles (deg): 90.00 90.00 90.00
Atoms (fractional coordinates):
Hf 0.000 0.000 0.000
Fe 0.000 0.500 0.500
Fe 0.500 0.000 0.500
Ge 0.500 0.500 0.000

Values from the calculation:
Crystal system = tetragonal

***

(12)
The following is a GGA-PBE calculation of an optimized crystal structure of Hg3SbH, from Alexandria via LeMat-Bulk.

a b c (Å): 4.742 4.742 4.742
angles (deg): 90.00 90.00 90.00
Atoms (fractional coordinates):
Hg 0.000 0.000 0.500
Hg 0.000 0.500 0.000
Hg 0.500 0.000 0.000
Sb 0.500 0.500 0.500
H 0.000 0.000 0.000

Values from the calculation:
Crystal system = cubic

***

E_tot
In order: -8.746; -3.686; -3.286; -7.360; -4.921; -7.596; -7.065; -2.302; -5.656; -3.741; -8.155; -1.236
Unit: eV per atom
Ρ
In order: 13.79; 8.19; 7.30; 10.56; 5.74; 7.79; 8.42; 4.51; 4.23; 5.42; 11.18; 11.28
Unit: g cm⁻³